(1)
{
  "formula": "Cs2ThSnTe5",
  "functional": "PBE-GGA",
  "state": "relaxed",
  "cell": [[2.310, -11.420, 0.000], [2.310, 11.420, 0.000], [0.000, 0.000, 16.315]],
  "species": ["Cs", "Cs", "Cs", "Cs", "Th", "Th", "Sn", "Sn", "Te", "Te", "Te", "Te", "Te", "Te", "Te", "Te", "Te", "Te"],
  "frac_coords": [[0.122, 0.878, 0.500], [0.136, 0.864, 0.856], [0.864, 0.136, 0.356], [0.878, 0.122, 0.000], [0.203, 0.797, 0.200], [0.797, 0.203, 0.700], [0.433, 0.567, 0.582], [0.567, 0.433, 0.082], [0.054, 0.946, 0.191], [0.310, 0.690, 0.559], [0.315, 0.685, 0.823], [0.330, 0.670, 0.174], [0.492, 0.508, 0.440], [0.508, 0.492, 0.940], [0.670, 0.330, 0.674], [0.685, 0.315, 0.323], [0.690, 0.310, 0.059], [0.946, 0.054, 0.691]],
  "raw_formation_energy_ev_per_fu": -7.6,
  "e_tot_ry_per_atom": -0.298,
  "crystal_system": "orthorhombic"
}

***

(2)
{
  "formula": "NaYTl2",
  "functional": "PBE-GGA",
  "state": "relaxed",
  "cell": [[3.432, 0.000, 0.000], [0.000, 6.122, 0.000], [0.000, 0.000, 12.354]],
  "species": ["Na", "Na", "Y", "Y", "Tl", "Tl", "Tl", "Tl"],
  "frac_coords": [[0.000, 0.000, 0.000], [0.500, 0.500, 0.500], [0.000, 0.000, 0.500], [0.500, 0.500, 0.000], [0.000, 0.000, 0.245], [0.000, 0.000, 0.755], [0.500, 0.500, 0.255], [0.500, 0.500, 0.745]],
  "ef_ev_per_atom": 0.24,
  "e_tot_ry_per_atom": -0.212,
  "crystal_system": "orthorhombic"
}

***

(3)
{
  "formula": "HoErIn4",
  "functional": "PBE-GGA",
  "state": "relaxed",
  "cell": [[0.000, 4.225, 4.225], [4.225, 0.000, 4.225], [4.225, 4.225, 0.000]],
  "species": ["Ho", "Er", "In", "In", "In", "In"],
  "frac_coords": [[0.000, 0.000, 0.000], [0.750, 0.750, 0.750], [0.375, 0.375, 0.375], [0.375, 0.375, 0.875], [0.375, 0.875, 0.375], [0.875, 0.375, 0.375]],
  "polymorph_energy_mev_per_atom": 77,
  "ef_ev_per_atom": -0.29,
  "e_tot_ry_per_atom": -0.268,
  "crystal_system": "cubic"
}